Material: KU2Ni2S4
Method: DFT, PBE
State: optimized geometry

abc: 14.699 3.607 7.043
angles: 90.00 114.40 90.00
Space group C2/m (No. 12)
Inequivalent atoms, fractional coordinates:
K: 0.000 0.000 0.000 [2 per cell]
U: 0.134 0.000 0.571 [4 per cell]
Ni: 0.191 0.500 0.013 [4 per cell]
S: 0.042 0.500 0.727 [4 per cell]
S: 0.215 0.000 0.238 [4 per cell]

Results
The value obtained for the energy relative to the elements, uncorrected is -846 meV/atom. Its total moment is 0.5522 μB/atom.



Material: K2U2NiS6
Method: DFT, PBE
State: optimized geometry

abc: 6.608 11.763 7.870
angles: 90.00 105.94 90.00
Space group C2/m (No. 12)
Inequivalent atoms, fractional coordinates:
K: 0.000 0.160 0.000 [4 per cell]
U: 0.000 0.335 0.500 [4 per cell]
Ni: 0.000 0.000 0.500 [2 per cell]
S: 0.231 0.170 0.695 [8 per cell]
S: 0.243 0.000 0.323 [4 per cell]

Results
The value obtained for the energy relative to the elements, uncorrected is -1127 meV/atom. Its total moment is 0.4184 μB/atom.



Material: K4U3NiS8
Method: DFT, PBE
State: optimized geometry

abc: 14.006 7.783 8.712
angles: 90.00 121.67 90.00
Space group C2/m (No. 12)
Inequivalent atoms, fractional coordinates:
K: 0.000 0.000 0.000 [2 per cell]
K: 0.000 0.500 0.000 [2 per cell]
K: 0.250 0.250 0.000 [4 per cell]
U: 0.000 0.000 0.500 [2 per cell]
U: 0.250 0.250 0.500 [4 per cell]
Ni: 0.000 0.500 0.500 [2 per cell]
S: 0.019 0.267 0.315 [8 per cell]
S: 0.233 0.000 0.707 [4 per cell]
S: 0.249 0.000 0.286 [4 per cell]

Results
The value obtained for the energy relative to the elements, uncorrected is -1202 meV/atom. Its total moment is 0.4877 μB/atom.



Material: K3UNi2S6
Method: DFT, PBE
State: optimized geometry

abc: 6.419 11.105 7.645
angles: 90.00 106.24 90.00
Space group C2/m (No. 12)
Inequivalent atoms, fractional coordinates:
K: 0.000 0.000 0.000 [2 per cell]
K: 0.000 0.334 0.000 [4 per cell]
U: 0.000 0.500 0.500 [2 per cell]
Ni: 0.000 0.167 0.500 [4 per cell]
S: 0.215 0.000 0.685 [4 per cell]
S: 0.235 0.327 0.686 [8 per cell]

Results
The value obtained for the energy relative to the elements, uncorrected is -872 meV/atom. Its total moment is 0.2525 μB/atom.



Material: KU2NiS5
Method: DFT, PBE
State: optimized geometry

abc: 7.530 7.530 13.157
angles: 90.00 90.00 90.00
Space group I4/mcm (No. 140)
Inequivalent atoms, fractional coordinates:
K: 0.000 0.000 0.250 [4 per cell]
U: 0.161 0.339 0.000 [8 per cell]
Ni: 0.000 0.500 0.250 [4 per cell]
S: 0.000 0.000 0.000 [4 per cell]
S: 0.145 0.355 0.372 [16 per cell]

Results
The value obtained for the energy relative to the elements, uncorrected is -1229 meV/atom. Its total moment is 0.3328 μB/atom.



Material: KU4Ni3S12
Method: DFT, PBE
State: optimized geometry

abc: 9.609 9.609 9.609
angles: 90.00 90.00 90.00
Space group Im-3 (No. 204)
Inequivalent atoms, fractional coordinates:
K: 0.000 0.000 0.000 [2 per cell]
U: 0.250 0.250 0.250 [8 per cell]
Ni: 0.000 0.000 0.500 [6 per cell]
S: 0.000 0.326 0.161 [24 per cell]

Results
The value obtained for the energy relative to the elements, uncorrected is -909 meV/atom. Its total moment is 0.3545 μB/atom.



Material: KUNi2S4
Method: DFT, PBE
State: optimized geometry

abc: 6.337 6.337 8.006
angles: 90.00 90.00 90.00
Space group I-42m (No. 121)
Inequivalent atoms, fractional coordinates:
K: 0.000 0.000 0.000 [2 per cell]
U: 0.000 0.000 0.500 [2 per cell]
Ni: 0.000 0.500 0.250 [4 per cell]
S: 0.223 0.223 0.289 [8 per cell]

Results
The value obtained for the energy relative to the elements, uncorrected is -678 meV/atom. Its total moment is 0.2269 μB/atom.



Material: K2VNiS4
Method: DFT, PBE
State: optimized geometry

abc: 5.376 13.090 22.815
angles: 90.00 90.00 90.00
Space group Fddd (No. 70, origin choice 2)
Inequivalent atoms, fractional coordinates:
K: 0.125 0.125 0.303 [16 per cell]
V: 0.125 0.125 0.625 [8 per cell]
Ni: 0.125 0.125 0.125 [8 per cell]
S: 0.119 0.279 0.822 [32 per cell]

Results
The value obtained for the energy relative to the elements, uncorrected is -1002 meV/atom. Its total moment is 0.1137 μB/atom.